# Hf5Cu4Ni4 GGA-PBE relaxed
# energy of formation from the pure elements: -0.29 eV/atom
# crystal system: tetragonal
data_Hf5Cu4Ni4
_chemical_formula_sum 'Hf5 Cu4 Ni4'
_cell_length_a 7.469
_cell_length_b 7.469
_cell_length_c 7.469
_cell_angle_alpha 93.80
_cell_angle_beta 93.80
_cell_angle_gamma 150.17
_space_group_name_H-M_alt 'P 1'
_space_group_IT_number 1
_space_group_name_Hall 'P 1'
loop_
_atom_site_label
_atom_site_type_symbol
_atom_site_fract_x
_atom_site_fract_y
_atom_site_fract_z
_atom_site_occupancy
Hf1 Hf 0.000 0.000 0.000 1
Hf2 Hf 0.290 0.625 0.915 1
Hf3 Hf 0.375 0.290 0.665 1
Hf4 Hf 0.625 0.710 0.335 1
Hf5 Hf 0.710 0.375 0.085 1
Cu1 Cu 0.098 0.422 0.521 1
Cu2 Cu 0.422 0.902 0.324 1
Cu3 Cu 0.578 0.098 0.676 1
Cu4 Cu 0.902 0.578 0.479 1
Ni1 Ni 0.069 0.757 0.826 1
Ni2 Ni 0.243 0.069 0.313 1
Ni3 Ni 0.757 0.931 0.687 1
Ni4 Ni 0.931 0.243 0.174 1

---

# Hf3CuNi2 GGA-PBE relaxed
# energy of formation from the pure elements: -0.32 eV/atom
# crystal system: orthorhombic
data_Hf3CuNi2
_chemical_formula_sum 'Hf3 Cu1 Ni2'
_cell_length_a 7.171
_cell_length_b 7.171
_cell_length_c 3.177
_cell_angle_alpha 90.00
_cell_angle_beta 90.00
_cell_angle_gamma 143.13
_space_group_name_H-M_alt 'P 1'
_space_group_IT_number 1
_space_group_name_Hall 'P 1'
loop_
_atom_site_label
_atom_site_type_symbol
_atom_site_fract_x
_atom_site_fract_y
_atom_site_fract_z
_atom_site_occupancy
Hf1 Hf 0.000 0.000 0.000 1
Hf2 Hf 0.330 0.670 0.000 1
Hf3 Hf 0.670 0.330 0.000 1
Cu1 Cu 0.500 0.500 0.500 1
Ni1 Ni 0.162 0.838 0.500 1
Ni2 Ni 0.838 0.162 0.500 1

---

# HfCuNi6 GGA-PBE relaxed
# energy of formation from the pure elements: -0.21 eV/atom
# crystal system: orthorhombic
data_HfCuNi6
_chemical_formula_sum 'Hf4 Cu4 Ni24'
_cell_length_a 6.309
_cell_length_b 6.309
_cell_length_c 10.342
_cell_angle_alpha 90.00
_cell_angle_beta 90.00
_cell_angle_gamma 110.33
_space_group_name_H-M_alt 'P 1'
_space_group_IT_number 1
_space_group_name_Hall 'P 1'
loop_
_atom_site_label
_atom_site_type_symbol
_atom_site_fract_x
_atom_site_fract_y
_atom_site_fract_z
_atom_site_occupancy
Hf1 Hf 0.000 0.000 0.246 1
Hf2 Hf 0.000 0.000 0.754 1
Hf3 Hf 0.244 0.756 0.500 1
Hf4 Hf 0.756 0.244 0.500 1
Cu1 Cu 0.241 0.759 0.000 1
Cu2 Cu 0.500 0.500 0.244 1
Cu3 Cu 0.500 0.500 0.756 1
Cu4 Cu 0.759 0.241 0.000 1
Ni1 Ni 0.000 0.000 0.000 1
Ni2 Ni 0.000 0.000 0.500 1
Ni3 Ni 0.131 0.386 0.120 1
Ni4 Ni 0.131 0.386 0.880 1
Ni5 Ni 0.136 0.382 0.370 1
Ni6 Ni 0.136 0.382 0.630 1
Ni7 Ni 0.252 0.748 0.243 1
Ni8 Ni 0.252 0.748 0.757 1
Ni9 Ni 0.382 0.136 0.370 1
Ni10 Ni 0.382 0.136 0.630 1
Ni11 Ni 0.386 0.131 0.120 1
Ni12 Ni 0.386 0.131 0.880 1
Ni13 Ni 0.500 0.500 0.000 1
Ni14 Ni 0.500 0.500 0.500 1
Ni15 Ni 0.614 0.869 0.120 1
Ni16 Ni 0.614 0.869 0.880 1
Ni17 Ni 0.618 0.864 0.370 1
Ni18 Ni 0.618 0.864 0.630 1
Ni19 Ni 0.748 0.252 0.243 1
Ni20 Ni 0.748 0.252 0.757 1
Ni21 Ni 0.864 0.618 0.370 1
Ni22 Ni 0.864 0.618 0.630 1
Ni23 Ni 0.869 0.614 0.120 1
Ni24 Ni 0.869 0.614 0.880 1

---

# Hf6CuNi5 GGA-PBE relaxed
# energy of formation from the pure elements: -0.38 eV/atom
# crystal system: triclinic
data_Hf6CuNi5
_chemical_formula_sum 'Hf6 Cu1 Ni5'
_cell_length_a 4.595
_cell_length_b 6.406
_cell_length_c 7.680
_cell_angle_alpha 65.41
_cell_angle_beta 72.94
_cell_angle_gamma 89.66
_space_group_name_H-M_alt 'P 1'
_space_group_IT_number 1
_space_group_name_Hall 'P 1'
loop_
_atom_site_label
_atom_site_type_symbol
_atom_site_fract_x
_atom_site_fract_y
_atom_site_fract_z
_atom_site_occupancy
Hf1 Hf 0.002 0.261 0.486 1
Hf2 Hf 0.313 0.089 0.833 1
Hf3 Hf 0.323 0.579 0.846 1
Hf4 Hf 0.677 0.421 0.154 1
Hf5 Hf 0.687 0.911 0.167 1
Hf6 Hf 0.998 0.739 0.514 1
Cu1 Cu 0.500 0.000 0.500 1
Ni1 Ni 0.212 0.140 0.180 1
Ni2 Ni 0.214 0.685 0.169 1
Ni3 Ni 0.500 0.500 0.500 1
Ni4 Ni 0.786 0.315 0.831 1
Ni5 Ni 0.788 0.860 0.820 1

---

# Hf2Cu2Ni GGA-PBE relaxed
# energy of formation from the pure elements: -0.13 eV/atom
# crystal system: tetragonal
data_Hf2Cu2Ni
_chemical_formula_sum 'Hf4 Cu4 Ni2'
_cell_length_a 6.719
_cell_length_b 6.719
_cell_length_c 3.535
_cell_angle_alpha 90.00
_cell_angle_beta 90.00
_cell_angle_gamma 90.00
_space_group_name_H-M_alt 'P 1'
_space_group_IT_number 1
_space_group_name_Hall 'P 1'
loop_
_atom_site_label
_atom_site_type_symbol
_atom_site_fract_x
_atom_site_fract_y
_atom_site_fract_z
_atom_site_occupancy
Hf1 Hf 0.177 0.323 0.000 1
Hf2 Hf 0.323 0.823 0.000 1
Hf3 Hf 0.677 0.177 0.000 1
Hf4 Hf 0.823 0.677 0.000 1
Cu1 Cu 0.127 0.627 0.500 1
Cu2 Cu 0.373 0.127 0.500 1
Cu3 Cu 0.627 0.873 0.500 1
Cu4 Cu 0.873 0.373 0.500 1
Ni1 Ni 0.000 0.000 0.500 1
Ni2 Ni 0.500 0.500 0.500 1

---

# Hf3Cu2Ni4 GGA-PBE relaxed
# energy of formation from the pure elements: -0.32 eV/atom
# crystal system: monoclinic
data_Hf3Cu2Ni4
_chemical_formula_sum 'Hf6 Cu4 Ni8'
_cell_length_a 7.732
_cell_length_b 7.732
_cell_length_c 4.655
_cell_angle_alpha 97.79
_cell_angle_beta 97.79
_cell_angle_gamma 73.47
_space_group_name_H-M_alt 'P 1'
_space_group_IT_number 1
_space_group_name_Hall 'P 1'
loop_
_atom_site_label
_atom_site_type_symbol
_atom_site_fract_x
_atom_site_fract_y
_atom_site_fract_z
_atom_site_occupancy
Hf1 Hf 0.134 0.866 0.750 1
Hf2 Hf 0.213 0.455 0.914 1
Hf3 Hf 0.455 0.213 0.414 1
Hf4 Hf 0.545 0.787 0.586 1
Hf5 Hf 0.787 0.545 0.086 1
Hf6 Hf 0.866 0.134 0.250 1
Cu1 Cu 0.012 0.765 0.201 1
Cu2 Cu 0.235 0.988 0.299 1
Cu3 Cu 0.765 0.012 0.701 1
Cu4 Cu 0.988 0.235 0.799 1
Ni1 Ni 0.091 0.348 0.358 1
Ni2 Ni 0.321 0.568 0.466 1
Ni3 Ni 0.348 0.091 0.858 1
Ni4 Ni 0.432 0.679 0.034 1
Ni5 Ni 0.568 0.321 0.966 1
Ni6 Ni 0.652 0.909 0.142 1
Ni7 Ni 0.679 0.432 0.534 1
Ni8 Ni 0.909 0.652 0.642 1